LiNd5Ga4 | GGA-PBE | relaxed

Computed properties:
As for the space group: P4/mmm (123). Its calculated total energy is -4.229 eV/atom.

abc: 3.6955 3.6955 18.9132
angles: 90.00 90.00 90.00
Closest atoms and distances in Å follow each position.
Sites, in units of the cell vectors:
Li 0.0000 0.0000 0.0000  8 Nd 3.36, 4 Li 3.70
Nd 0.5000 0.5000 0.1118  4 Ga 3.13, 4 Li 3.36
Nd 0.5000 0.5000 0.3048  8 Ga 3.20-3.25
Nd 0.5000 0.5000 0.5000  8 Ga 3.20
Nd 0.5000 0.5000 0.6952  8 Ga 3.20-3.25
Nd 0.5000 0.5000 0.8882  4 Ga 3.13, 4 Li 3.36
Ga 0.0000 0.0000 0.2026  8 Nd 3.13-3.25
Ga 0.0000 0.0000 0.4021  8 Nd 3.20
Ga 0.0000 0.0000 0.5979  8 Nd 3.20
Ga 0.0000 0.0000 0.7974  8 Nd 3.13-3.25

NaBeSb2Au | GGA-PBE | relaxed

Computed properties:
As for the space group: P4/mmm (123). Its calculated total energy is -3.187 eV/atom. As for the formation energy (no corrections): 0.13 eV per atom.

abc: 5.0516 4.5911 5.0516
angles: 90.00 90.00 90.00
Closest atoms and distances in Å follow each position.
Sites, in units of the cell vectors:
Sb 0.0000 0.0000 0.5000  2 Be 2.53
Sb 0.5000 0.0000 0.0000  2 Be 2.53
Au 0.0000 0.5000 0.0000  2 Be 2.30
Be 0.0000 0.0000 0.0000  2 Au 2.30, 4 Sb 2.53
Na 0.5000 0.5000 0.5000  8 Sb 3.41, 4 Au 3.57

Re4GeTe2 | GGA-PBE | relaxed

Computed properties:
As for the space group: I4/mmm (139). Its calculated total energy is -6.992 eV/atom. As for the formation energy (no corrections): 1.68 eV per atom.

abc: 4.6135 4.6135 7.4116
angles: 71.87 71.87 90.00
Closest atoms and distances in Å follow each position.
Sites, in units of the cell vectors:
Re 0.8196 0.8196 0.3607  1 Ge 2.40, 1 Te 2.57
Re 0.1804 0.1804 0.6393  1 Ge 2.40, 1 Te 2.57
Re 0.0000 0.5000 0.0000  2 Ge 2.31
Re 0.5000 0.0000 0.0000  2 Ge 2.31
Ge 0.0000 0.0000 0.0000  6 Re 2.31-2.40
Te 0.6269 0.6269 0.7462  5 Re 2.57-2.86
Te 0.3731 0.3731 0.2538  5 Re 2.57-2.86

ZnSbSCl2 | GGA-PBE | relaxed

Computed properties:
As for the space group: P4/mmm (123). Its calculated total energy is -2.735 eV/atom. The energy above the most stable polymorph in this dataset comes out at 89 meV/atom. As for the formation energy (no corrections): -0.09 eV per atom.

abc: 5.3304 5.3304 5.0846
angles: 90.00 90.00 90.00
Closest atoms and distances in Å follow each position.
Sites, in units of the cell vectors:
Sb 0.0000 0.0000 0.0000  2 S 2.54, 4 Cl 2.67
Zn 0.5000 0.5000 0.5000  8 Cl 3.68, 4 S 3.77
S 0.0000 0.0000 0.5000  2 Sb 2.54
Cl 0.0000 0.5000 0.0000  2 Sb 2.67
Cl 0.5000 0.0000 0.0000  2 Sb 2.67

NaAgC3 | GGA-PBE | relaxed

Computed properties:
As for the space group: Pm-3m (221). Its calculated total energy is -3.402 eV/atom. The energy above the most stable polymorph in this dataset comes out at 0 meV/atom.

abc: 4.3105 4.3105 4.3105
angles: 90.00 90.00 90.00
Closest atoms and distances in Å follow each position.
Sites, in units of the cell vectors:
Na 0.5000 0.5000 0.5000  12 C 3.05
C 0.0000 0.5000 0.0000  2 Ag 2.16
C 0.0000 0.0000 0.5000  2 Ag 2.16
C 0.5000 0.0000 0.0000  2 Ag 2.16
Ag 0.0000 0.0000 0.0000  6 C 2.16

BaNaF2 | GGA-PBE | relaxed

Computed properties:
As for the space group: R-3m (166). Its calculated total energy is -4.290 eV/atom. The energy above the most stable polymorph in this dataset comes out at 236 meV/atom. As for the formation energy (no corrections): -2.54 eV per atom.

abc: 3.6380 3.6380 6.7647
angles: 74.40 74.40 60.00
Closest atoms and distances in Å follow each position.
Sites, in units of the cell vectors:
Na 0.0000 0.0000 0.0000  6 F 2.45
Ba 0.5000 0.5000 0.5000  6 F 2.87
F 0.7317 0.7317 0.8049  3 Na 2.45
F 0.2683 0.2683 0.1951  3 Na 2.45

Cl | GGA-PBE | relaxed

Computed properties:
As for the space group: P-1 (2). Its calculated total energy is -1.847 eV/atom. The energy above the most stable polymorph in this dataset comes out at 0 meV/atom. As for the formation energy (no corrections): 0.00 eV per atom.

abc: 4.4962 5.6622 6.0570
angles: 84.55 83.19 71.95
Closest atoms and distances in Å follow each position.
Sites, in units of the cell vectors:
Cl 0.4243 0.5756 0.8508  1 Cl 2.02
Cl 0.5757 0.4244 0.1492  1 Cl 2.02
Cl 0.8520 0.1496 0.5762  1 Cl 2.03
Cl 0.1480 0.8504 0.4238  1 Cl 2.03

LiTm4BiS8 | GGA-PBE | relaxed

Computed properties:
As for the space group: R3m (160). Its calculated total energy is -5.720 eV/atom. As for the formation energy (no corrections): -1.67 eV per atom.

abc: 7.9235 7.9235 8.0205
angles: 60.40 60.40 60.00
Closest atoms and distances in Å follow each position.
Sites, in units of the cell vectors:
Li 0.3706 0.3706 0.8882  4 S 2.55-2.58
Tm 0.6261 0.6261 0.1218  4 S 2.57-2.62
Tm 0.0044 0.4893 0.5019  6 S 2.67-2.77
Tm 0.4893 0.0044 0.5019  6 S 2.67-2.77
Tm 0.0044 0.0044 0.5019  6 S 2.67-2.77
Bi 0.0086 0.0086 0.9742  6 S 2.72-2.93
S 0.2498 0.7672 0.7333  1 Li 2.58, 2 Tm 2.69, 1 Bi 2.72
S 0.7672 0.2498 0.7333  1 Li 2.58, 2 Tm 2.69, 1 Bi 2.72
S 0.2498 0.2498 0.7333  1 Li 2.58, 2 Tm 2.69, 1 Bi 2.72
S 0.2414 0.2414 0.2758  1 Li 2.55, 3 Tm 2.67
S 0.7502 0.2296 0.2700  3 Tm 2.57-2.74
S 0.2296 0.7502 0.2700  3 Tm 2.57-2.74
S 0.7502 0.7502 0.2700  3 Tm 2.57-2.74
S 0.7586 0.7586 0.7243  4 Tm 2.62-2.77

Mo2Os3Rh2 | GGA-PBE | relaxed

Computed properties:
As for the space group: Cmmm (65). Its calculated total energy is -9.952 eV/atom.

abc: 3.9701 2.7347 9.7695
angles: 90.00 101.72 90.00
Closest atoms and distances in Å follow each position.
Sites, in units of the cell vectors:
Mo 0.1462 0.0000 0.2924  4 Rh 2.69, 2 Mo 2.73, 5 Os 2.80-2.83
Mo 0.8538 0.0000 0.7076  4 Rh 2.69, 2 Mo 2.73, 5 Os 2.80-2.83
Os 0.4318 0.5000 0.8635  7 Os 2.61-2.74, 1 Rh 2.68, 4 Mo 2.83
Os 0.5682 0.5000 0.1365  7 Os 2.61-2.74, 1 Rh 2.68, 4 Mo 2.83
Os 0.0000 0.0000 0.0000  10 Os 2.73-2.74, 2 Mo 2.80
Rh 0.2918 0.5000 0.5836  4 Rh 2.55-2.73, 1 Os 2.68, 4 Mo 2.69
Rh 0.7082 0.5000 0.4164  4 Rh 2.55-2.73, 1 Os 2.68, 4 Mo 2.69

Pm2InCl | GGA-PBE | relaxed

Computed properties:
As for the space group: R-3m (166). Its calculated total energy is -4.394 eV/atom. The energy above the most stable polymorph in this dataset comes out at 0 meV/atom. As for the formation energy (no corrections): -0.87 eV per atom.

abc: 3.7341 3.7341 9.3525
angles: 78.48 78.48 60.00
Closest atoms and distances in Å follow each position.
Sites, in units of the cell vectors:
Cl 0.0000 0.0000 0.0000  6 Pm 3.02
In 0.5000 0.5000 0.5000  6 Pm 3.25
Pm 0.7444 0.7444 0.7669  3 Cl 3.02, 3 In 3.25
Pm 0.2556 0.2556 0.2331  3 Cl 3.02, 3 In 3.25

SnCl | GGA-PBE | relaxed

Computed properties:
As for the space group: P6_3mc (186). Its calculated total energy is -3.437 eV/atom. As for the formation energy (no corrections): -0.51 eV per atom.

abc: 3.4819 3.4819 10.2212
angles: 90.00 90.00 120.00
Closest atoms and distances in Å follow each position.
Sites, in units of the cell vectors:
Sn 0.6667 0.3333 0.8110  1 Cl 2.53
Sn 0.3333 0.6667 0.3110  1 Cl 2.53
Cl 0.6667 0.3333 0.5640  1 Sn 2.53
Cl 0.3333 0.6667 0.0640  1 Sn 2.53

Ba2CuGe4Pt3 | GGA-PBE | relaxed

Computed properties:
As for the space group: P-4m2 (115). Its calculated total energy is -5.109 eV/atom.

abc: 4.5423 4.5423 10.2916
angles: 90.00 90.00 90.00
Closest atoms and distances in Å follow each position.
Sites, in units of the cell vectors:
Ba 0.5000 0.0000 0.2502  2 Cu 3.43, 7 Pt 3.43-3.83, 9 Ge 3.43-3.82
Ba 0.0000 0.5000 0.7498  2 Cu 3.43, 7 Pt 3.43-3.83, 9 Ge 3.43-3.82
Cu 0.5000 0.5000 0.5000  4 Ge 2.59
Ge 0.5000 0.5000 0.0000  4 Pt 2.59
Ge 0.0000 0.0000 0.0000  4 Pt 2.59
Ge 0.5000 0.0000 0.6211  2 Cu 2.59, 3 Pt 2.59-2.65
Ge 0.0000 0.5000 0.3789  2 Cu 2.59, 3 Pt 2.59-2.65
Pt 0.0000 0.0000 0.5000  4 Ge 2.59
Pt 0.5000 0.0000 0.8782  5 Ge 2.59-2.65
Pt 0.0000 0.5000 0.1218  5 Ge 2.59-2.65

BaSb3 | GGA-PBE | relaxed

Computed properties:
As for the space group: Fm-3m (225). Its calculated total energy is -3.783 eV/atom. As for the formation energy (no corrections): -0.21 eV per atom.

abc: 5.6946 5.6946 5.6946
angles: 60.00 60.00 60.00
Closest atoms and distances in Å follow each position.
Sites, in units of the cell vectors:
Ba 0.0000 0.0000 0.0000  8 Sb 3.49
Sb 0.2500 0.2500 0.2500  4 Ba 3.49, 4 Sb 3.49
Sb 0.5000 0.5000 0.5000  8 Sb 3.49
Sb 0.7500 0.7500 0.7500  4 Sb 3.49, 4 Ba 3.49